Entry 1:
Crystalline Ba2InGa2Sb4 at its relaxed geometry, computed with PBE.

Lattice parameters (Å, degrees): 9.022 9.022 7.171 111.91 111.91 32.50
Fractional coordinates of all 9 atoms:
Ba 0.139 0.139 0.091
Ba 0.861 0.861 0.909
In 0.000 0.000 0.500
Ga 0.332 0.332 0.521
Ga 0.668 0.668 0.479
Sb 0.201 0.201 0.667
Sb 0.499 0.499 0.782
Sb 0.501 0.501 0.218
Sb 0.799 0.799 0.333

Computed properties:
crystal system = monoclinic
E_form (uncorrected) = -0.527 eV per atom

***

Entry 2:
Crystalline KCd2P at its relaxed geometry, computed with PBE.

Lattice parameters (Å, degrees): 6.765 6.765 6.765 153.99 131.45 55.90
Fractional coordinates of all 4 atoms:
K 0.000 0.000 0.000
Cd 0.300 0.800 0.500
Cd 0.700 0.200 0.500
P 0.500 0.500 0.000

Computed properties:
formation enthalpy at 0 K = 0.023 eV per atom
crystal system = orthorhombic

***

Entry 3:
Crystalline TaCr2Au at its relaxed geometry, computed with PBE.

Lattice parameters (Å, degrees): 2.936 2.936 7.029 90.00 90.00 90.00
Fractional coordinates of all 4 atoms:
Ta 0.000 0.000 0.000
Cr 0.000 0.000 0.569
Cr 0.500 0.500 0.741
Au 0.500 0.500 0.299

Computed properties:
formation enthalpy at 0 K = 0.079 eV per atom
crystal system = tetragonal

***

Electronic total energy values, unit eV per atom, following the record order: -3.763; -2.061; -8.515.
M_tot values, unit μB/atom, following the record order: 0.000; 0.000; 0.148.